1.
Entry from Alexandria: a relaxed structure of Tb6PrY2Sc3 (GGA-PBE).

Cell lengths 6.085, 6.085, 11.535 Å; angles 95.04, 95.04, 119.98 degrees
Positions (direct):
Tb 0.913 0.579 0.739
Tb 0.754 0.754 0.262
Tb 0.087 0.421 0.261
Tb 0.579 0.913 0.739
Tb 0.246 0.246 0.738
Tb 0.421 0.087 0.261
Pr 0.000 0.000 0.000
Y 0.333 0.667 0.000
Y 0.667 0.333 0.000
Sc 0.167 0.833 0.500
Sc 0.833 0.167 0.500
Sc 0.500 0.500 0.500

The total DFT energy (no corrections) comes out at -63.92 eV per cell. As for the energy of formation from the pure elements: 0.047 eV/atom. As for the space-group type: No. 12.

---

2.
Entry from Alexandria: a relaxed structure of Tb6Pr3Y2Sc (GGA-PBE).

Cell lengths 6.205, 6.205, 11.844 Å; angles 95.01, 95.01, 119.99 degrees
Positions (direct):
Tb 0.919 0.589 0.757
Tb 0.751 0.751 0.244
Tb 0.081 0.411 0.243
Tb 0.589 0.919 0.757
Tb 0.249 0.249 0.756
Tb 0.411 0.081 0.243
Pr 0.167 0.833 0.500
Pr 0.833 0.167 0.500
Pr 0.500 0.500 0.500
Y 0.334 0.666 0.000
Y 0.666 0.334 0.000
Sc 0.000 0.000 0.000

The total DFT energy (no corrections) comes out at -61.01 eV per cell. As for the energy of formation from the pure elements: 0.031 eV/atom. As for the space-group type: No. 12.

---

3.
Entry from Alexandria: a relaxed structure of Tb2Pr6YSc (GGA-PBE).

Cell lengths 8.803, 7.028, 6.759 Å; angles 121.33, 100.58, 90.00 degrees
Positions (direct):
Tb 0.161 0.093 0.186
Tb 0.839 0.907 0.814
Pr 0.399 0.623 0.246
Pr 0.203 0.083 0.676
Pr 0.797 0.407 0.324
Pr 0.203 0.593 0.676
Pr 0.797 0.917 0.324
Pr 0.601 0.377 0.754
Y 0.500 0.000 0.000
Sc 0.000 0.500 0.000

The total DFT energy (no corrections) comes out at -48.41 eV per cell. As for the energy of formation from the pure elements: 0.232 eV/atom. As for the space-group type: No. 12.

---

4.
Entry from Alexandria: a relaxed structure of Tb5PrY2Sc (GGA-PBE).

Cell lengths 5.617, 10.274, 10.434 Å; angles 90.00, 90.00, 105.86 degrees
Positions (direct):
Tb 0.377 0.754 0.020
Tb 0.722 0.444 0.821
Tb 0.482 0.963 0.739
Tb 0.298 0.596 0.705
Tb 0.980 0.961 0.520
Tb 0.623 0.246 0.520
Tb 0.278 0.556 0.321
Tb 0.518 0.037 0.239
Tb 0.702 0.404 0.205
Tb 0.020 0.039 0.020
Pr 0.586 0.172 0.955
Pr 0.414 0.828 0.455
Y 0.888 0.777 0.815
Y 0.114 0.227 0.734
Y 0.112 0.223 0.315
Y 0.886 0.773 0.234
Sc 0.803 0.606 0.514
Sc 0.197 0.394 0.014

The total DFT energy (no corrections) comes out at -91.33 eV per cell. As for the energy of formation from the pure elements: 0.169 eV/atom. As for the space-group type: No. 36.